(1)
## NbAgAu2 (PBE)

Data for crystalline NbAgAu2 at its relaxed geometry.

The space group is R-3m (No. 166, hexagonal axes) and the conventional cell measures 2.9471, 2.9471 and 28.7095 Å, with angles of 90.00, 90.00 and 120.00 degrees. The inequivalent atoms are Nb at (0.0000, 0.0000, 0.0000), Ag at (0.0000, 0.0000, 0.5000) and Au at (0.0000, 0.0000, 0.2510).

The value obtained for the total moment is 0.00 μB/atom. Its energy of formation is -8 meV/atom. As for the volume: 215.9 Å³ per cell. The density of states at the Fermi level comes out at 5.64 states/eV/cell.



(2)
## CsLiBr2 (PBE)

Data for crystalline CsLiBr2 at its relaxed geometry.

The space group is R3m (No. 160, hexagonal axes) and the conventional cell measures 4.3796, 4.3796 and 23.8933 Å, with angles of 90.00, 90.00 and 120.00 degrees. The inequivalent atoms are Cs at (0.0000, 0.0000, 0.0000), Li at (0.0000, 0.0000, 0.1689), Br at (0.0000, 0.0000, 0.5625) and Br at (0.0000, 0.0000, 0.7721).

The calculation puts the formation energy without anion corrections at -1.54 eV per atom. The value obtained for the total moment is 0.00 μB/atom. As for the volume: 396.9 Å³ per cell. The density of states at the Fermi level comes out at 0.00 states/eV/cell.



(3)
## LiTaPS2 (PBE)

Data for crystalline LiTaPS2 at its relaxed geometry.

The space group is P4/mmm (No. 123) and the conventional cell measures 4.6641, 4.6641 and 4.0717 Å, with angles of 90.00, 90.00 and 90.00 degrees. The inequivalent atoms are Li at (0.0000, 0.0000, 0.0000), Ta at (0.5000, 0.5000, 0.0000), P at (0.0000, 0.0000, 0.5000) and S at (0.0000, 0.5000, 0.5000).

For the distance to the lowest polymorph of the same formula, the calculation gives 26.13 kcal/mol of atoms. The calculation puts the formation energy without anion corrections at 0.73 eV per atom. The value obtained for the total moment is 0.54 μB/atom. As for the volume: 88.6 Å³ per cell. The density of states at the Fermi level comes out at 3.51 states/eV/cell.



(4)
## LiLaTa2 (PBE)

Data for crystalline LiLaTa2 at its relaxed geometry.

The space group is Cm (No. 8) and the conventional cell measures 9.6672, 2.9422 and 6.1854 Å, with angles of 90.00, 94.66 and 90.00 degrees. The inequivalent atoms are Li at (0.0000, 0.0000, 0.0000), La at (0.2548, 0.5000, 0.2715), Ta at (0.0192, 0.5000, 0.5928) and Ta at (0.2578, 0.0000, 0.7533).

For the distance to the lowest polymorph of the same formula, the calculation gives 3.66 kcal/mol of atoms. The value obtained for the total moment is 0.00 μB/atom. Its energy of formation is 502 meV/atom. As for the volume: 175.3 Å³ per cell. The density of states at the Fermi level comes out at 8.81 states/eV/cell.



(5)
## HfF (PBE)

Data for crystalline HfF at its relaxed geometry.

The space group is Fm-3m (No. 225) and the conventional cell measures 4.9049, 4.9049 and 4.9049 Å, with angles of 90.00, 90.00 and 90.00 degrees. The inequivalent atoms are Hf at (0.0000, 0.0000, 0.0000) and F at (0.0000, 0.0000, 0.5000).

For the distance to the lowest polymorph of the same formula, the calculation gives 24.80 kcal/mol of atoms. The calculation puts the formation energy without anion corrections at -1.06 eV per atom. The value obtained for the total moment is 0.00 μB/atom. As for the volume: 118.0 Å³ per cell. The density of states at the Fermi level comes out at 6.54 states/eV/cell.



(6)
## Li2CuAg (PBE)

Data for crystalline Li2CuAg at its relaxed geometry.

The space group is Cm (No. 8) and the conventional cell measures 4.8902, 2.8268 and 8.8971 Å, with angles of 90.00, 100.75 and 90.00 degrees. The inequivalent atoms are Li at (0.0000, 0.0000, 0.0000), Li at (0.1749, 0.0000, 0.5260), Cu at (0.0875, 0.5000, 0.7628) and Ag at (0.4210, 0.0000, 0.2633).

The value obtained for the total moment is 0.00 μB/atom. Its energy of formation is -38 meV/atom. As for the volume: 120.8 Å³ per cell. The density of states at the Fermi level comes out at 2.81 states/eV/cell.



(7)
## K2MnAg2Br6 (PBE)

Data for crystalline K2MnAg2Br6 at its relaxed geometry.

The space group is R-3m (No. 166, hexagonal axes) and the conventional cell measures 8.1447, 8.1447 and 19.8240 Å, with angles of 90.00, 90.00 and 120.00 degrees. The inequivalent atoms are K at (0.0000, 0.0000, 0.2196), Mn at (0.0000, 0.0000, 0.0000), Ag at (0.0000, 0.0000, 0.4232) and Br at (0.0361, 0.5181, 0.7512).

The calculation puts the formation energy without anion corrections at -0.90 eV per atom. The value obtained for the total moment is 0.45 μB/atom. As for the volume: 1138.9 Å³ per cell.



(8)
## CdCo2PdRh (PBE)

Data for crystalline CdCo2PdRh at its relaxed geometry.

The space group is P4/mmm (No. 123) and the conventional cell measures 4.5102, 4.5102 and 5.0383 Å, with angles of 90.00, 90.00 and 90.00 degrees. The inequivalent atoms are Cd at (0.0000, 0.0000, 0.0000), Co at (0.0000, 0.5000, 0.5000), Pd at (0.5000, 0.5000, 0.0000) and Rh at (0.0000, 0.0000, 0.5000).

The value obtained for the total moment is 0.99 μB/atom. Its energy of formation is 1097 meV/atom. As for the volume: 102.5 Å³ per cell. The density of states at the Fermi level comes out at 4.84 states/eV/cell.



(9)
## Pu3P4Ru4 (PBE)

Data for crystalline Pu3P4Ru4 at its relaxed geometry.

The space group is Immm (No. 71) and the conventional cell measures 3.9225, 7.1269 and 12.9943 Å, with angles of 90.00, 90.00 and 90.00 degrees. The inequivalent atoms are Pu at (0.0000, 0.0000, 0.0000), Pu at (0.0000, 0.5000, 0.1120), P at (0.0000, 0.0000, 0.2206), P at (0.0000, 0.2209, 0.5000) and Ru at (0.0000, 0.3037, 0.3216).

The value obtained for the total moment is 1.29 μB/atom. Its energy of formation is -790 meV/atom. As for the volume: 363.3 Å³ per cell. The density of states at the Fermi level comes out at 53.77 states/eV/cell.



(10)
## ScSb2 (PBE)

Data for crystalline ScSb2 at its relaxed geometry.

The space group is I4_1/amd (No. 141, origin choice 2) and the conventional cell measures 3.8178, 3.8178 and 23.6257 Å, with angles of 90.00, 90.00 and 90.00 degrees. The inequivalent atoms are Sc at (0.0000, 0.2500, 0.3750) and Sb at (0.0000, 0.2500, 0.8134).

The calculation puts the formation energy without anion corrections at -0.44 eV per atom. The value obtained for the total moment is 0.00 μB/atom. As for the volume: 344.4 Å³ per cell. The density of states at the Fermi level comes out at 5.42 states/eV/cell.



(11)
## TiCo2Pb (PBE)

Data for crystalline TiCo2Pb at its relaxed geometry.

The space group is I-42d (No. 122) and the conventional cell measures 4.1132, 4.1132 and 16.5243 Å, with angles of 90.00, 90.00 and 90.00 degrees. The inequivalent atoms are Ti at (0.0000, 0.0000, 0.0000), Co at (0.1643, 0.2500, 0.1250) and Pb at (0.0000, 0.0000, 0.5000).

The value obtained for the total moment is 0.42 μB/atom. Its energy of formation is 512 meV/atom. As for the volume: 279.6 Å³ per cell. The density of states at the Fermi level comes out at 16.48 states/eV/cell.



(12)
## NpScCo10 (PBE)

Data for crystalline NpScCo10 at its relaxed geometry.

The space group is Pmmm (No. 47) and the conventional cell measures 3.9828, 4.8164 and 8.2651 Å, with angles of 90.00, 90.00 and 90.00 degrees. The inequivalent atoms are Np at (0.0000, 0.0000, 0.0000), Sc at (0.0000, 0.5000, 0.5000), Co at (0.0000, 0.0000, 0.3278), Co at (0.0000, 0.5000, 0.1612), Co at (0.5000, 0.0000, 0.5000), Co at (0.5000, 0.2545, 0.2542) and Co at (0.5000, 0.5000, 0.0000).

The value obtained for the total moment is 0.84 μB/atom. Its energy of formation is -65 meV/atom. As for the volume: 158.6 Å³ per cell. The density of states at the Fermi level comes out at 19.01 states/eV/cell.



> Look up the total moment of the twelfth one.

0.84 μB/atom